(1)
Density functional theory data (GGA-PBE) for EuHo2Ge after structural relaxation.

As for the total energy: -75.14 eV per cell. The calculation puts the formation enthalpy at 0 K at -250 meV per atom. The magnetization is 7.834 μB per formula unit.

It has space group R-3m (No. 166, hexagonal axes), with a = 4.0424 Å, b = 4.0424 Å, c = 28.7870 Å, α = 90.00°, β = 90.00° and γ = 120.00°. The distinct sites, in fractional coordinates, are Eu at (0.0000, 0.0000, 0.0000), Ho at (0.0000, 0.0000, 0.2221) and Ge at (0.0000, 0.0000, 0.5000).

=====

(2)
Density functional theory data (GGA-PBE) for EuHoGePd after structural relaxation.

As for the total energy: -109.70 eV per cell. The calculation puts the formation enthalpy at 0 K at -690 meV per atom. The magnetization is 6.843 μB per formula unit.

It has space group F-43m (No. 216), with a = 7.1819 Å, b = 7.1819 Å, c = 7.1819 Å, α = 90.00°, β = 90.00° and γ = 90.00°. The distinct sites, in fractional coordinates, are Eu at (0.0000, 0.0000, 0.0000), Ho at (0.0000, 0.0000, 0.5000), Ge at (0.2500, 0.2500, 0.7500) and Pd at (0.2500, 0.2500, 0.2500).

=====

(3)
Density functional theory data (GGA-PBE) for EuHoGePt after structural relaxation.

As for the total energy: -114.84 eV per cell. The calculation puts the formation enthalpy at 0 K at -800 meV per atom. The magnetization is 6.755 μB per formula unit.

It has space group F-43m (No. 216), with a = 7.1634 Å, b = 7.1634 Å, c = 7.1634 Å, α = 90.00°, β = 90.00° and γ = 90.00°. The distinct sites, in fractional coordinates, are Eu at (0.0000, 0.0000, 0.0000), Ho at (0.0000, 0.0000, 0.5000), Ge at (0.2500, 0.2500, 0.2500) and Pt at (0.2500, 0.2500, 0.7500).